VASP calculation (GGA-PBE) on crystalline Er2TiSi3Pt4 at its relaxed geometry.

POSCAR file:
```
Er2TiSi3Pt4
1.0
4.0783 0.0000 0.0000
0.0000 4.0783 0.0000
0.0000 0.0000 10.6131
Pt Ti Si Er
4 1 3 2
Cartesian
0.0000 2.0392 3.7964
2.0392 2.0392 0.0000
2.0392 0.0000 6.8167
0.0000 0.0000 0.0000
2.0392 2.0392 5.3065
0.0000 2.0392 1.4426
2.0392 0.0000 9.1704
0.0000 0.0000 5.3065
0.0000 2.0392 8.0898
2.0392 0.0000 2.5233
```

Output
The value obtained for the uncorrected formation energy is -1.079 eV per atom. Its density of states at the Fermi level is 9.686 states/eV/f.u. The calculation puts the magnetization at 0.000 μB/atom.